1.
Material: PmEr4Sn2
Method: DFT, PBE-GGA
State: optimized geometry

V: 228 Å³/f.u.
Total energy: -3.99 eV/atom
Symmetry: No. 139

abc: 5.3048 5.3048 8.9293
angles: 107.28 107.28 90.00
Each line ends with the local moment (μB).
Atoms (fractional coordinates):
Pm  0.0000  0.0000  0.0000  0.11
Er  0.8156  0.8156  0.6312  0.08
Er  0.1844  0.1844  0.3688  0.08
Er  0.0000  0.5000  0.0000  0.03
Er  0.5000  0.0000  0.0000  0.03
Sn  0.6287  0.6287  0.2573  0.00
Sn  0.3713  0.3713  0.7427  0.00

2.
Material: Y2FeRh
Method: DFT, PBE-GGA
State: optimized geometry

V: 87 Å³/f.u.
Total energy: -7.19 eV/atom
Symmetry: No. 12

abc: 3.9324 3.9324 7.5377
angles: 82.10 82.10 49.27
Each line ends with the local moment (μB).
Atoms (fractional coordinates):
Fe  0.7500  0.7500  0.7500  2.28
Rh  0.2500  0.2500  0.2500  0.00
Y  0.9994  0.9994  0.0092  -0.18
Y  0.5006  0.5006  0.4908  -0.18

3.
Material: RbNaZnCl4
Method: DFT, PBE-GGA
State: optimized geometry

V: 207 Å³/f.u.
Raw formation energy: -1.59 eV/atom
Total energy: -3.15 eV/atom
Symmetry: No. 11

abc: 6.8692 7.1869 8.8085
angles: 90.00 107.42 90.00
Atoms (fractional coordinates):
Rb  0.7447  0.7500  0.9395
Rb  0.2553  0.2500  0.0605
Na  0.7868  0.7500  0.4503
Na  0.2132  0.2500  0.5497
Zn  0.2350  0.7500  0.3279
Zn  0.7650  0.2500  0.6721
Cl  0.9909  0.4954  0.7171
Cl  0.0091  0.9954  0.2829
Cl  0.0091  0.5046  0.2829
Cl  0.9909  0.0046  0.7171
Cl  0.4198  0.7500  0.1508
Cl  0.5802  0.2500  0.8492
Cl  0.4558  0.7500  0.5758
Cl  0.5442  0.2500  0.4242

4.
Material: NdCd4Ag4
Method: DFT, PBE-GGA
State: optimized geometry

V: 202 Å³/f.u.
Total energy: -2.27 eV/atom
Symmetry: No. 137

abc: 6.3262 6.3262 10.0775
angles: 90.00 90.00 90.00
Atoms (fractional coordinates):
Nd  0.0000  0.0000  0.0000
Nd  0.5000  0.5000  0.5000
Cd  0.2217  0.5000  0.9244
Cd  0.7783  0.5000  0.9244
Cd  0.5000  0.7783  0.0756
Cd  0.5000  0.2217  0.0756
Cd  0.0000  0.7217  0.4244
Cd  0.0000  0.2783  0.4244
Cd  0.2783  0.0000  0.5756
Cd  0.7217  0.0000  0.5756
Ag  0.5000  0.7706  0.7805
Ag  0.5000  0.2294  0.7805
Ag  0.7706  0.5000  0.2195
Ag  0.2294  0.5000  0.2195
Ag  0.2706  0.0000  0.2805
Ag  0.7294  0.0000  0.2805
Ag  0.0000  0.2706  0.7195
Ag  0.0000  0.7294  0.7195